1.
The following is a DFT calculation (PBE) of a relaxed structure of CuBPdPt.

```
4
Lattice="0.000 2.947 2.947 2.947 0.000 2.947 2.947 2.947 0.000" Properties=species:S:1:pos:R:3 pbc="T T T"
Cu 0.000 0.000 0.000
B 4.420 4.420 4.420
Pd 1.473 1.473 1.473
Pt 2.947 2.947 2.947
```

Values from the calculation:
- Offset from the most stable computed form: 0 meV per atom



2.
The following is a DFT calculation (PBE) of a relaxed structure of ScHgO3.

```
5
Lattice="4.128 0.000 0.000 0.000 4.128 0.000 0.000 0.000 4.173" Properties=species:S:1:pos:R:3 pbc="T T T"
Sc 0.000 0.000 0.000
Hg 2.064 2.064 1.400
O 0.000 0.000 2.156
O 0.000 2.064 0.253
O 2.064 0.000 0.253
```

Values from the calculation:
- E_tot: -5.74 eV/atom



3.
The following is a DFT calculation (PBE) of a relaxed structure of SrLi3PdN3.

```
16
Lattice="2.994 1.728 6.503 -2.994 1.728 6.503 0.000 -3.457 6.503" Properties=species:S:1:pos:R:3 pbc="T T T"
Sr 0.000 0.000 3.134
Sr 0.000 0.000 16.374
Li -1.655 0.177 5.888
Li 0.674 -1.522 5.888
Li -0.981 -1.345 13.620
Li 0.981 1.345 5.888
Li -0.674 1.522 13.620
Li 1.655 -0.177 13.620
Pd 0.000 0.000 8.212
Pd 0.000 0.000 11.296
N -1.909 -0.027 8.000
N -0.931 -1.667 11.507
N 0.978 -1.640 8.000
N -0.978 1.640 11.507
N 0.931 1.667 8.000
N 1.909 0.027 11.507
```

Values from the calculation:
- E_tot: -4.85 eV/atom



4.
The following is a DFT calculation (PBE) of a relaxed structure of ScFeCuSi.

```
4
Lattice="0.000 3.011 3.011 3.011 0.000 3.011 3.011 3.011 0.000" Properties=species:S:1:pos:R:3 pbc="T T T"
Sc 0.000 0.000 0.000
Fe 3.011 3.011 3.011
Cu 1.505 1.505 1.505
Si 4.516 4.516 4.516
```

Values from the calculation:
- Offset from the most stable computed form: 43 meV per atom



5.
The following is a DFT calculation (PBE) of a relaxed structure of RbLaTmTe3.

```
12
Lattice="2.406 -8.367 0.000 2.406 8.367 0.000 0.000 0.000 12.394" Properties=species:S:1:pos:R:3 pbc="T T T"
Rb 2.406 4.308 9.296
Rb 2.406 -4.308 3.099
La 2.406 0.000 0.000
La 2.406 0.000 6.197
Tm 2.406 7.785 3.099
Tm 2.406 -7.785 9.296
Te 2.406 6.195 0.689
Te 2.406 6.195 5.508
Te 2.406 1.117 3.099
Te 2.406 -1.117 9.296
Te 2.406 -6.195 6.886
Te 2.406 -6.195 11.705
```

Values from the calculation:
- Offset from the most stable computed form: 23 meV per atom



6.
The following is a DFT calculation (PBE) of a relaxed structure of Sr2Lu.

```
6
Lattice="0.000 8.388 8.388 8.388 0.000 8.388 8.388 8.388 0.000" Properties=species:S:1:pos:R:3 pbc="T T T"
Sr 0.000 0.000 0.000
Sr 4.194 4.194 0.000
Sr 4.194 0.000 4.194
Sr 0.000 4.194 4.194
Lu 2.097 2.097 2.097
Lu 14.679 14.679 14.679
```

Values from the calculation:
- E_tot: -0.88 eV/atom



7.
The following is a DFT calculation (PBE) of a relaxed structure of DyHo2Mg3CdGa2.

```
9
Lattice="4.455 0.000 0.000 0.000 6.372 3.671 0.000 -6.372 3.671" Properties=species:S:1:pos:R:3 pbc="T T T"
Dy 0.000 0.000 0.000
Ho 0.000 -2.750 2.588
Ho 0.000 2.750 2.588
Mg 2.228 0.000 2.341
Mg 2.228 -1.591 5.088
Mg 2.228 1.591 5.088
Cd 0.000 0.000 4.167
Ga 2.228 -4.244 4.173
Ga 2.228 4.244 4.173
```

Values from the calculation:
- E_tot: -3.25 eV/atom



8.
The following is a DFT calculation (PBE) of a relaxed structure of GdNbNO.

```
8
Lattice="3.992 0.000 0.000 0.000 3.992 0.000 0.000 0.000 8.079" Properties=species:S:1:pos:R:3 pbc="T T T"
Gd 0.998 0.998 1.069
Gd 2.994 2.994 7.010
Nb 0.998 2.994 4.040
Nb 2.994 0.998 4.040
N 0.998 0.998 4.782
N 2.994 2.994 3.297
O 0.998 2.994 0.000
O 2.994 0.998 0.000
```

Values from the calculation:
- Offset from the most stable computed form: 0 meV per atom



9.
The following is a DFT calculation (PBE) of a relaxed structure of CsTbHg3S4.

```
18
Lattice="6.259 0.000 0.000 0.000 7.684 0.000 -0.610 0.000 12.037" Properties=species:S:1:pos:R:3 pbc="T T T"
Cs 0.736 1.921 4.432
Cs 4.913 5.763 7.606
Tb 2.357 5.763 2.480
Tb 3.292 1.921 9.558
Hg 0.314 1.921 8.324
Hg 1.280 4.018 11.458
Hg 1.280 7.508 11.458
Hg 4.369 0.176 0.580
Hg 4.369 3.666 0.580
Hg 5.335 5.763 3.713
S 0.242 5.763 0.611
S 1.209 5.763 4.818
S 1.726 3.957 8.860
S 1.726 7.569 8.860
S 3.923 0.115 3.177
S 3.923 3.727 3.177
S 4.440 1.921 7.219
S 5.407 1.921 11.426
```

Values from the calculation:
- Offset from the most stable computed form: 0 meV per atom



10.
The following is a DFT calculation (PBE) of a relaxed structure of ZrHg2Sb.

```
4
Lattice="0.000 3.617 3.617 3.617 0.000 3.617 3.617 3.617 0.000" Properties=species:S:1:pos:R:3 pbc="T T T"
Zr 0.000 0.000 0.000
Hg 1.809 1.809 1.809
Hg 3.617 3.617 3.617
Sb 5.426 5.426 5.426
```

Values from the calculation:
- E_tot: -3.24 eV/atom



11.
The following is a DFT calculation (PBE) of a relaxed structure of HoEr2Al3AgPd2.

```
9
Lattice="3.856 0.000 0.000 0.000 6.374 3.676 0.000 -6.374 3.676" Properties=species:S:1:pos:R:3 pbc="T T T"
Ho 0.000 0.000 0.000
Er 0.000 -2.640 4.567
Er 0.000 2.640 4.567
Al 1.928 -1.637 2.105
Al 1.928 1.637 2.105
Al 1.928 0.000 4.929
Ag 0.000 0.000 3.049
Pd 1.928 -4.242 3.044
Pd 1.928 4.242 3.044
```

Values from the calculation:
- E_tot: -4.95 eV/atom



12.
The following is a DFT calculation (PBE) of a relaxed structure of BeZn.

```
4
Lattice="0.000 2.849 2.849 2.849 0.000 2.849 2.849 2.849 0.000" Properties=species:S:1:pos:R:3 pbc="T T T"
Be 0.712 0.712 0.712
Be 4.985 4.985 4.985
Zn 2.137 2.137 2.137
Zn 3.561 3.561 3.561
```

Values from the calculation:
- E_tot: -2.19 eV/atom



13.
The following is a DFT calculation (PBE) of a relaxed structure of LiNpNi4.

```
6
Lattice="0.000 3.412 3.412 3.412 0.000 3.412 3.412 3.412 0.000" Properties=species:S:1:pos:R:3 pbc="T T T"
Li 0.000 0.000 0.000
Np 1.706 1.706 1.706
Ni 4.271 2.552 2.552
Ni 2.552 4.271 2.552
Ni 2.552 2.552 4.271
Ni 4.271 4.271 4.271
```

Values from the calculation:
- E_tot: -6.21 eV/atom



14.
The following is a DFT calculation (PBE) of a relaxed structure of YTaGa2.

```
4
Lattice="0.000 3.397 3.397 3.397 0.000 3.397 3.397 3.397 0.000" Properties=species:S:1:pos:R:3 pbc="T T T"
Y 0.000 0.000 0.000
Ta 5.096 5.096 5.096
Ga 1.699 1.699 1.699
Ga 3.397 3.397 3.397
```

Values from the calculation:
- E_tot: -5.70 eV/atom



15.
The following is a DFT calculation (PBE) of a relaxed structure of AlFeReAg.

```
4
Lattice="0.000 3.069 3.069 3.069 0.000 3.069 3.069 3.069 0.000" Properties=species:S:1:pos:R:3 pbc="T T T"
Al 0.000 0.000 0.000
Fe 1.535 1.535 1.535
Re 3.069 3.069 3.069
Ag 4.604 4.604 4.604
```

Values from the calculation:
- Offset from the most stable computed form: 0 meV per atom



16.
The following is a DFT calculation (PBE) of a relaxed structure of YUPb.

```
3
Lattice="0.000 3.700 3.700 3.700 0.000 3.700 3.700 3.700 0.000" Properties=species:S:1:pos:R:3 pbc="T T T"
Y 0.000 0.000 0.000
U 3.700 3.700 3.700
Pb 5.551 5.551 5.551
```

Values from the calculation:
- E_tot: -6.65 eV/atom



17.
The following is a DFT calculation (PBE) of a relaxed structure of AgAu3.

```
4
Lattice="4.159 0.000 0.000 0.000 4.159 0.000 0.000 0.000 4.159" Properties=species:S:1:pos:R:3 pbc="T T T"
Ag 0.000 0.000 0.000
Au 0.000 2.079 2.079
Au 2.079 0.000 2.079
Au 2.079 2.079 0.000
```

Values from the calculation:
- Offset from the most stable computed form: 1 meV per atom



18.
The following is a DFT calculation (PBE) of a relaxed structure of BiAuNO.

```
8
Lattice="4.018 0.000 0.000 0.000 4.018 0.000 0.000 0.000 7.699" Properties=species:S:1:pos:R:3 pbc="T T T"
Bi 1.005 1.005 1.211
Bi 3.014 3.014 6.488
Au 1.005 3.014 3.850
Au 3.014 1.005 3.850
N 1.005 1.005 5.076
N 3.014 3.014 2.623
O 1.005 3.014 0.000
O 3.014 1.005 0.000
```

Values from the calculation:
- Offset from the most stable computed form: 349 meV per atom



19.
The following is a DFT calculation (PBE) of a relaxed structure of PrNdNO.

```
16
Lattice="8.420 0.000 0.000 0.000 7.090 0.000 0.000 0.000 5.187" Properties=species:S:1:pos:R:3 pbc="T T T"
Pr 1.069 0.590 1.297
Pr 1.069 2.955 3.891
Pr 7.351 4.135 1.297
Pr 7.351 6.500 3.891
Nd 3.178 4.082 1.297
Nd 3.178 6.553 3.891
Nd 5.242 0.537 1.297
Nd 5.242 3.008 3.891
N 1.079 0.506 3.891
N 1.079 3.039 1.297
N 7.341 4.051 3.891
N 7.341 6.584 1.297
O 3.143 4.206 3.891
O 3.143 6.428 1.297
O 5.277 0.661 3.891
O 5.277 2.883 1.297
```

Values from the calculation:
- Offset from the most stable computed form: 10 meV per atom



20.
The following is a DFT calculation (PBE) of a relaxed structure of ErTcAsO.

```
8
Lattice="4.344 0.000 0.000 0.000 4.344 0.000 0.000 0.000 8.811" Properties=species:S:1:pos:R:3 pbc="T T T"
Er 1.086 3.258 0.000
Er 3.258 1.086 0.000
Tc 1.086 1.086 4.251
Tc 3.258 3.258 4.560
As 1.086 1.086 1.771
As 3.258 3.258 7.040
O 1.086 3.258 4.406
O 3.258 1.086 4.406
```

Values from the calculation:
- Offset from the most stable computed form: 1602 meV per atom



21.
The following is a DFT calculation (PBE) of a relaxed structure of NiSnIr2.

```
4
Lattice="0.000 3.126 3.126 3.126 0.000 3.126 3.126 3.126 0.000" Properties=species:S:1:pos:R:3 pbc="T T T"
Ni 0.000 0.000 0.000
Sn 4.689 4.689 4.689
Ir 1.563 1.563 1.563
Ir 3.126 3.126 3.126
```

Values from the calculation:
- E_tot: -6.65 eV/atom



22.
The following is a DFT calculation (PBE) of a relaxed structure of NbFe2Cu.

```
4
Lattice="0.000 2.985 2.985 2.985 0.000 2.985 2.985 2.985 0.000" Properties=species:S:1:pos:R:3 pbc="T T T"
Nb 0.000 0.000 0.000
Fe 2.985 2.985 2.985
Fe 4.478 4.478 4.478
Cu 1.493 1.493 1.493
```

Values from the calculation:
- E_tot: -7.46 eV/atom



23.
The following is a DFT calculation (PBE) of a relaxed structure of TbF3.

```
8
Lattice="3.222 -5.462 0.000 3.222 5.462 0.000 -2.197 0.000 3.214" Properties=species:S:1:pos:R:3 pbc="T T T"
Tb 3.222 3.704 0.000
Tb 3.222 -3.704 0.000
F -0.093 1.911 2.340
F 1.025 0.000 0.770
F -0.093 -1.911 2.340
F 4.340 1.911 0.874
F 3.222 0.000 2.444
F 4.340 -1.911 0.874
```

Values from the calculation:
- E_tot: -6.59 eV/atom



24.
The following is a DFT calculation (PBE) of a relaxed structure of Nb4SnAsN2.

```
8
Lattice="3.305 0.000 0.000 -1.652 2.862 0.000 0.000 0.000 12.797" Properties=species:S:1:pos:R:3 pbc="T T T"
Nb 0.000 0.000 1.882
Nb 0.000 0.000 10.916
Nb 0.000 1.908 4.082
Nb 0.000 1.908 8.716
Sn 0.000 0.000 6.399
As 0.000 1.908 0.000
N 1.652 0.954 3.043
N 1.652 0.954 9.754
```

Values from the calculation:
- E_tot: -8.85 eV/atom



25.
The following is a DFT calculation (PBE) of a relaxed structure of LiZnInGa.

```
4
Lattice="0.000 3.358 3.358 3.358 0.000 3.358 3.358 3.358 0.000" Properties=species:S:1:pos:R:3 pbc="T T T"
Li 0.000 0.000 0.000
Zn 1.679 1.679 1.679
In 3.358 3.358 3.358
Ga 5.037 5.037 5.037
```

Values from the calculation:
- Offset from the most stable computed form: 20 meV per atom